# 1
# Na3Pu2USe6 GGA-PBE optimized geometry
data_Na3Pu2USe6
_chemical_formula_sum 'Na6 Pu4 U2 Se12'
_cell_length_a 7.282
_cell_length_b 12.613
_cell_length_c 7.364
_cell_angle_alpha 90.00
_cell_angle_beta 109.26
_cell_angle_gamma 90.00
_space_group_name_H-M_alt 'C 1 2/m 1'
_space_group_IT_number 12
loop_
_space_group_symop_operation_xyz
'x,y,z'
'-x,-y,-z'
'-x,y,-z'
'x,-y,z'
'x+1/2,y+1/2,z'
'-x+1/2,-y+1/2,-z'
'-x+1/2,y+1/2,-z'
'x+1/2,-y+1/2,z'
loop_
_atom_site_label
_atom_site_fract_x
_atom_site_fract_y
_atom_site_fract_z
_atom_site_occupancy
Na1 0.000 0.000 0.000 1
Na2 0.000 0.332 0.000 1
Pu1 0.000 0.167 0.500 1
U1 0.000 0.500 0.500 1
Se1 0.241 0.337 0.731 1
Se2 0.250 0.000 0.730 1
# V: 638.4 Å³/cell
# Final energy: -162.2 eV per cell
# Raw formation energy: -1570 kJ/mol of formula units



# 2
# Na2PuU2Se6 GGA-PBE optimized geometry
data_Na2PuU2Se6
_chemical_formula_sum 'Na4 Pu2 U4 Se12'
_cell_length_a 7.236
_cell_length_b 12.618
_cell_length_c 7.400
_cell_angle_alpha 90.00
_cell_angle_beta 108.85
_cell_angle_gamma 90.00
_space_group_name_H-M_alt 'C 1 2/m 1'
_space_group_IT_number 12
loop_
_space_group_symop_operation_xyz
'x,y,z'
'-x,-y,-z'
'-x,y,-z'
'x,-y,z'
'x+1/2,y+1/2,z'
'-x+1/2,-y+1/2,-z'
'-x+1/2,y+1/2,-z'
'x+1/2,-y+1/2,z'
loop_
_atom_site_label
_atom_site_fract_x
_atom_site_fract_y
_atom_site_fract_z
_atom_site_occupancy
Na1 0.000 0.165 0.000 1
Pu1 0.000 0.000 0.500 1
U1 0.000 0.335 0.500 1
Se1 0.235 0.500 0.729 1
Se2 0.244 0.172 0.726 1
# V: 639.4 Å³/cell
# Final energy: -148.2 eV per cell
# Raw formation energy: -1317 kJ/mol of formula units